7
Lattice="5.272 0.000 0.000 0.000 5.272 0.000 -2.636 -2.636 8.114" Properties=species:S:1:pos:R:3 comment="NpTl2S2Cl2 (PBE, optimized geometry)" spacegroup="No. 139" formation_energy_uncorrected_mev_per_atom=-1089 dft_energy_ev_per_atom=-5.3210 pbc="T T T"
S 2.636 0.000 0.000
S 0.000 2.636 0.000
Tl 0.000 0.000 6.049
Tl 2.636 2.636 2.065
Cl 2.636 2.636 5.456
Cl 0.000 0.000 2.658
Np 0.000 0.000 0.000

=====

13
Lattice="-4.147 -6.497 -3.390 4.071 5.448 -4.966 5.778 -3.020 4.571" Properties=species:S:1:pos:R:3 comment="Pu5Se8 (PBE, optimized geometry)" spacegroup="No. 12" formation_energy_uncorrected_mev_per_atom=-1309 dft_energy_ev_per_atom=-8.9652 pbc="T T T"
Se 2.182 -0.754 -6.515
Se 5.688 -0.562 0.019
Se 0.013 -3.508 -3.804
Se 2.224 -0.174 -1.897
Se 1.214 -6.645 0.824
Se 4.487 2.575 -4.609
Se 3.519 -3.316 2.730
Se 3.477 -3.896 -1.888
Pu 0.796 -5.028 -1.552
Pu 3.228 -1.950 0.216
Pu 4.906 0.958 -2.233
Pu 2.474 -2.120 -4.000
Pu 0.000 0.000 0.000

=====

5
Lattice="4.502 0.000 0.000 0.000 3.971 0.000 0.000 0.000 4.502" Properties=species:S:1:pos:R:3 comment="ScV2FeC (PBE, optimized geometry)" spacegroup="No. 123" dft_energy_ev_per_atom=-6.1208 e_form_ev_per_atom=2.330 pbc="T T T"
Sc 0.000 0.000 0.000
V 0.000 0.000 2.251
V 2.251 0.000 0.000
C 0.000 1.986 0.000
Fe 2.251 1.986 2.251

=====

14
Lattice="-0.595 -5.699 1.404 2.874 -1.520 -4.952 6.701 3.079 2.944" Properties=species:S:1:pos:R:3 comment="Sc4GaTcO (PBE, optimized geometry)" spacegroup="No. 63" formation_energy_uncorrected_mev_per_atom=-916 dft_energy_ev_per_atom=-7.1555 pbc="T T T"
Sc 4.490 -2.070 -0.302
Sc 5.786 -3.038 2.519
Sc 3.351 1.539 1.472
Sc 3.053 -1.310 2.174
Sc 7.733 -0.940 -0.538
Sc 3.194 -1.103 -3.123
Sc 4.787 0.779 -1.004
Sc 1.247 -3.200 -0.066
O 5.181 -1.032 -1.991
O 3.798 -3.109 1.387
Ga 6.850 -3.811 -0.169
Ga 2.129 -0.329 -0.435
Tc 3.307 -3.938 -2.187
Tc 5.673 -0.203 1.583

=====

4
Lattice="0.000 3.331 3.331 3.331 0.000 3.331 3.331 3.331 0.000" Properties=species:S:1:pos:R:3 comment="Tl2ReIr (PBE, optimized geometry)" spacegroup="No. 225" dft_energy_ev_per_atom=-5.4467 e_form_ev_per_atom=1.064 e_above_lowest_polymorph_mev_per_atom=612 pbc="T T T"
Ir 3.331 3.331 3.331
Re 0.000 0.000 0.000
Tl 1.666 1.666 1.666
Tl 4.997 4.997 4.997

=====

13
Lattice="6.580 0.188 1.687 -1.097 6.786 3.524 -0.829 -1.398 10.900" Properties=species:S:1:pos:R:3 comment="Ac8Pm3Er2 (PBE, optimized geometry)" spacegroup="No. 12" dft_energy_ev_per_atom=-4.1089 e_form_ev_per_atom=0.218 pbc="T T T"
Ac 0.895 1.938 9.402
Ac 0.231 5.291 6.816
Ac 0.505 2.933 2.976
Ac 4.286 0.370 5.012
Ac 4.148 2.643 13.134
Ac 0.367 5.206 11.099
Ac 3.758 3.637 6.709
Ac 4.422 0.285 9.294
Pm 0.000 0.000 0.000
Pm 1.587 4.095 14.547
Pm 3.066 1.481 1.564
Er 0.652 1.452 5.872
Er 4.001 4.123 10.239